[1]
Compound: Li2LaAs2
Source: the Alexandria database
Functional: GGA-PBE
Structure: optimized geometry

a b c (Å): 7.8904 7.8904 3.1153
angles (deg): 90.00 90.00 90.00
Last column: nearest neighbours and their distance in Å.
Space group P4/mbm (No. 127)
One atom of each set of equivalent atoms:
Li (0.1110, 0.3890, 0.0000) [4 per cell]  1 Li 2.48
La (0.0000, 0.0000, 0.0000) [2 per cell]  2 La 3.12, 4 Li 3.19, 8 As 3.28
As (0.1824, 0.6824, 0.5000) [4 per cell]  6 Li 2.78-2.85, 2 As 3.12

Properties
ΔH_f (0 K), kcal/mol of atoms: -17.76

=====

[2]
Compound: TbY2PaP4
Source: the Alexandria database
Functional: GGA-PBE
Structure: optimized geometry

a b c (Å): 6.9161 4.0061 6.9235
angles (deg): 90.00 109.48 90.00
Last column: nearest neighbours and their distance in Å.
Space group P2/m (No. 10)
One atom of each set of equivalent atoms:
Tb (0.0000, 0.0000, 0.0000) [1 per cell]  6 P 2.83
Y (0.5000, 0.0000, 0.5000) [1 per cell]  6 P 2.82-2.83
Y (0.5000, 0.5000, 0.0000) [1 per cell]  6 P 2.85-2.87
Pa (0.0000, 0.5000, 0.5000) [1 per cell]  6 P 2.78-2.81
P (0.2462, 0.0000, 0.7457) [2 per cell]  2 Pa 2.81, 3 Y 2.82-2.85, 1 Tb 2.83
P (0.2468, 0.5000, 0.2542) [2 per cell]  1 Pa 2.78, 3 Y 2.83-2.87, 2 Tb 2.83

Properties
ΔH_f (0 K), kcal/mol of atoms: -35.83

=====

[3]
Compound: RbSrCo2
Source: the Alexandria database
Functional: GGA-PBE
Structure: optimized geometry

a b c (Å): 8.5243 8.5243 5.9740
angles (deg): 90.00 90.00 90.00
Last column: nearest neighbours and their distance in Å.
Space group I-42d (No. 122)
One atom of each set of equivalent atoms:
Rb (0.0000, 0.0000, 0.0000) [4 per cell]  2 Sr 2.99, 4 Co 3.15
Sr (0.0000, 0.0000, 0.5000) [4 per cell]  2 Rb 2.99, 4 Co 3.06
Co (0.2426, 0.2500, 0.6250) [8 per cell]  2 Co 2.99, 2 Sr 3.06, 2 Rb 3.15

Properties
Polymorph energy (0 for the lowest one), eV per atom: 0.075
ΔH_f (0 K), kcal/mol of atoms: 29.43

=====

[4]
Compound: CuOsAu3
Source: the Alexandria database
Functional: GGA-PBE
Structure: optimized geometry

a b c (Å): 4.6474 4.6474 4.6474
angles (deg): 90.00 90.00 90.00
Last column: nearest neighbours and their distance in Å.
Space group Pm-3m (No. 221)
One atom of each set of equivalent atoms:
Cu (0.0000, 0.0000, 0.0000) [1 per cell]  6 Au 2.32
Os (0.5000, 0.5000, 0.5000) [1 per cell]  12 Au 3.29
Au (0.0000, 0.0000, 0.5000) [3 per cell]  2 Cu 2.32

Properties
Polymorph energy (0 for the lowest one), eV per atom: 0.000
ΔH_f (0 K), kcal/mol of atoms: 33.31

=====

[5]
Compound: CaHg2Bi
Source: the Alexandria database
Functional: GGA-PBE
Structure: optimized geometry

a b c (Å): 3.6567 5.4193 12.7724
angles (deg): 90.00 90.00 90.00
Last column: nearest neighbours and their distance in Å.
Space group Immm (No. 71)
One atom of each set of equivalent atoms:
Ca (0.0000, 0.0000, 0.0000) [2 per cell]  2 Hg 3.18, 4 Bi 3.27
Hg (0.0000, 0.0000, 0.2486) [4 per cell]  1 Ca 3.18, 1 Bi 3.21, 4 Hg 3.27
Bi (0.0000, 0.0000, 0.5000) [2 per cell]  2 Hg 3.21, 4 Ca 3.27

Properties
ΔH_f (0 K), kcal/mol of atoms: -6.64

=====

[6]
Compound: Dy2Co2Si3
Source: the Alexandria database
Functional: GGA-PBE
Structure: optimized geometry

a b c (Å): 4.0383 17.1454 6.6217
angles (deg): 90.00 90.00 90.00
Last column: nearest neighbours and their distance in Å.
Space group Cmcm (No. 63)
One atom of each set of equivalent atoms:
Dy (0.0000, 0.0542, 0.2500) [4 per cell]  9 Si 2.90-3.11
Dy (0.0000, 0.1600, 0.7500) [4 per cell]  6 Co 2.82-2.92, 6 Si 2.85-2.87
Co (0.0000, 0.3065, 0.5559) [8 per cell]  4 Si 2.36-2.48, 1 Co 2.57
Si (0.0000, 0.2230, 0.2500) [4 per cell]  6 Co 2.45-2.48
Si (0.0000, 0.4355, 0.0672) [8 per cell]  1 Co 2.36, 2 Si 2.38-2.42

Properties
Formation energy from raw total energies, kJ/mol of atoms: -68

=====

[7]
Compound: KZrTa2
Source: the Alexandria database
Functional: GGA-PBE
Structure: optimized geometry

a b c (Å): 6.1748 11.1011 2.7209
angles (deg): 90.00 106.45 90.00
Last column: nearest neighbours and their distance in Å.
Space group C2/m (No. 12)
One atom of each set of equivalent atoms:
K (0.0000, 0.0000, 0.0000) [2 per cell]  2 K 2.72
Zr (0.0000, 0.5000, 0.0000) [2 per cell]  2 Zr 2.72
Ta (0.2500, 0.2500, 0.5000) [4 per cell]  2 Ta 2.72

Properties
Polymorph energy (0 for the lowest one), eV per atom: 0.552
ΔH_f (0 K), kcal/mol of atoms: 25.20

=====

[8]
Compound: TaSbCl
Source: the Alexandria database
Functional: GGA-PBE
Structure: optimized geometry

a b c (Å): 3.1179 3.1179 15.1118
angles (deg): 90.00 90.00 90.00
Last column: nearest neighbours and their distance in Å.
Space group I4mm (No. 107)
One atom of each set of equivalent atoms:
Ta (0.0000, 0.0000, 0.0000) [2 per cell]  4 Cl 2.70, 4 Sb 2.99
Sb (0.0000, 0.0000, 0.6338) [2 per cell]  4 Ta 2.99, 4 Sb 3.12
Cl (0.0000, 0.0000, 0.3963) [2 per cell]  4 Ta 2.70

Properties
Formation energy from raw total energies, kJ/mol of atoms: -15
Polymorph energy (0 for the lowest one), eV per atom: 0.269

=====

[9]
Compound: Ni2SbRu
Source: the Alexandria database
Functional: GGA-PBE
Structure: optimized geometry

a b c (Å): 3.8081 3.8081 3.8386
angles (deg): 90.00 90.00 90.00
Last column: nearest neighbours and their distance in Å.
Space group P4/mmm (No. 123)
One atom of each set of equivalent atoms:
Ni (0.0000, 0.5000, 0.0000) [2 per cell]  4 Ni 2.69, 4 Ru 2.70, 4 Sb 2.70
Sb (0.0000, 0.0000, 0.5000) [1 per cell]  4 Ru 2.69, 8 Ni 2.70
Ru (0.5000, 0.5000, 0.5000) [1 per cell]  4 Sb 2.69, 8 Ni 2.70

Properties
Formation energy from raw total energies, kJ/mol of atoms: -2

=====

[10]
Compound: PmRh2Pb2
Source: the Alexandria database
Functional: GGA-PBE
Structure: optimized geometry

a b c (Å): 10.3819 9.1469 5.6198
angles (deg): 90.00 116.06 90.00
Last column: nearest neighbours and their distance in Å.
Space group C2/c (No. 15)
One atom of each set of equivalent atoms:
Pm (0.0000, 0.1432, 0.2500) [4 per cell]  4 Rh 2.85-3.17
Rh (0.0000, 0.2029, 0.7500) [4 per cell]  4 Pb 2.81-2.91, 2 Pm 2.86, 1 Rh 3.13
Rh (0.0000, 0.4544, 0.2500) [4 per cell]  4 Pb 2.71-2.74, 1 Pm 2.85, 2 Rh 2.93
Pb (0.2208, 0.3945, 0.1218) [8 per cell]  4 Rh 2.71-2.91

Properties
Polymorph energy (0 for the lowest one), eV per atom: 0.121
ΔH_f (0 K), kcal/mol of atoms: -6.24

=====

[11]
Compound: Cs3NaS2
Source: the Alexandria database
Functional: GGA-PBE
Structure: optimized geometry

a b c (Å): 8.1801 15.5955 7.2584
angles (deg): 90.00 90.00 90.00
Last column: nearest neighbours and their distance in Å.
Space group Ibam (No. 72)
One atom of each set of equivalent atoms:
Cs (0.0000, 0.0000, 0.2500) [4 per cell]  4 S 3.44, 2 Cs 3.63
Cs (0.1884, 0.3189, 0.0000) [8 per cell]  2 S 3.41-3.48, 2 Na 3.69
Na (0.0000, 0.5000, 0.2500) [4 per cell]  4 S 2.94
S (0.2015, 0.3965, 0.5000) [8 per cell]  2 Na 2.94

Properties
Formation energy from raw total energies, kJ/mol of atoms: -96

=====

[12]
Compound: KBa2AlIn
Source: the Alexandria database
Functional: GGA-PBE
Structure: optimized geometry

a b c (Å): 7.2170 7.2170 5.5278
angles (deg): 90.00 90.00 90.00
Last column: nearest neighbours and their distance in Å.
Space group P4/mmm (No. 123)
One atom of each set of equivalent atoms:
K (0.0000, 0.0000, 0.0000) [1 per cell]  8 Ba 4.55
Ba (0.0000, 0.5000, 0.5000) [2 per cell]  2 Al 3.61
Al (0.5000, 0.5000, 0.5000) [1 per cell]  2 In 2.76
In (0.5000, 0.5000, 0.0000) [1 per cell]  2 Al 2.76

Properties
Polymorph energy (0 for the lowest one), eV per atom: 0.000
ΔH_f (0 K), kcal/mol of atoms: 2.31